(A)
An optimized crystal structure of Li4YP, computed with PBE-GGA.

## Properties
**ρ**: 2122 kg/m3

a = 5.4786 Å, b = 7.8237 Å, c = 7.0151 Å
α = 90.00°, β = 129.78°, γ = 90.00°
Space group P2/c (No. 13)
Symmetry-distinct sites (fractional):
Li  0.0017  0.1890  0.0589 x4
Li  0.3634  0.1407  0.9307 x4
Y  0.5000  0.5003  0.2500 x2
P  0.0000  0.3934  0.7500 x2

***

(B)
An optimized crystal structure of Li4YP, computed with PBE-GGA.

## Properties
**ρ**: 2273 kg/m3

a = 7.5564 Å, b = 7.5564 Å, c = 7.5564 Å
α = 90.00°, β = 90.00°, γ = 90.00°
Space group F-43m (No. 216)
Symmetry-distinct sites (fractional):
Li  0.1235  0.1235  0.1235 x16
Y  0.0000  0.0000  0.5000 x4
P  0.2500  0.2500  0.7500 x4

***

(C)
An optimized crystal structure of Li4YP, computed with PBE-GGA.

## Properties
**ρ**: 2333 kg/m3

a = 4.5610 Å, b = 4.5610 Å, c = 5.8337 Å
α = 90.00°, β = 90.00°, γ = 120.00°
Space group P6/mmm (No. 191)
Symmetry-distinct sites (fractional):
Li  0.3333  0.6667  0.2136 x4
Y  0.0000  0.0000  0.5000 x1
P  0.0000  0.0000  0.0000 x1

***

Tell me which of them is the most stable. Sure, it is (A).

***

(A)
An optimized crystal structure of LiZn3P, computed with PBE-GGA.

## Properties
**ρ**: 3534 kg/m3

a = 4.7919 Å, b = 4.7919 Å, c = 4.7919 Å
α = 90.00°, β = 90.00°, γ = 90.00°
Space group Pm-3m (No. 221)
Symmetry-distinct sites (fractional):
Li  0.0000  0.0000  0.0000 x1
Zn  0.0000  0.5000  0.5000 x3
P  0.5000  0.5000  0.5000 x1

***

(B)
An optimized crystal structure of LiZn3P, computed with PBE-GGA.

## Properties
**ρ**: 4451 kg/m3

a = 4.4371 Å, b = 4.4371 Å, c = 4.4371 Å
α = 90.00°, β = 90.00°, γ = 90.00°
Space group Pm-3m (No. 221)
Symmetry-distinct sites (fractional):
Li  0.0000  0.0000  0.0000 x1
Zn  0.0000  0.0000  0.5000 x3
P  0.5000  0.5000  0.5000 x1

***

Tell me which of them is the most stable. Sure, it is (A).

***

(A)
An optimized crystal structure of LiZrP3, computed with PBE-GGA.

## Properties
**ρ**: 3884 kg/m3

a = 4.3393 Å, b = 4.3393 Å, c = 4.3393 Å
α = 90.00°, β = 90.00°, γ = 90.00°
Space group Pm-3m (No. 221)
Symmetry-distinct sites (fractional):
Li  0.0000  0.0000  0.0000 x1
Zr  0.5000  0.5000  0.5000 x1
P  0.0000  0.0000  0.5000 x3

***

(B)
An optimized crystal structure of LiZrP3, computed with PBE-GGA.

## Properties
**ρ**: 2485 kg/m3

a = 5.0357 Å, b = 5.0357 Å, c = 5.0357 Å
α = 90.00°, β = 90.00°, γ = 90.00°
Space group Pm-3m (No. 221)
Symmetry-distinct sites (fractional):
Li  0.0000  0.0000  0.0000 x1
Zr  0.5000  0.5000  0.5000 x1
P  0.0000  0.5000  0.5000 x3

***

Tell me which of them is the most stable. Sure, it is (B).

***

(A)
An optimized crystal structure of LiPaPd5, computed with PBE-GGA.

## Properties
**ρ**: 7364 kg/m3

a = 5.4408 Å, b = 9.0413 Å, c = 7.0600 Å
α = 90.00°, β = 90.00°, γ = 90.00°
Space group Imm2 (No. 44)
Symmetry-distinct sites (fractional):
Li  0.0000  0.0000  0.0000 x2
Pa  0.0000  0.5000  0.8602 x2
Pd  0.0000  0.2546  0.6980 x4
Pd  0.0000  0.5000  0.4874 x2
Pd  0.2469  0.0000  0.6614 x4

***

(B)
An optimized crystal structure of LiPaPd5, computed with PBE-GGA.

## Properties
**ρ**: 10232 kg/m3

a = 5.6910 Å, b = 7.7789 Å, c = 5.6462 Å
α = 90.00°, β = 90.00°, γ = 90.00°
Space group Cmmm (No. 65)
Symmetry-distinct sites (fractional):
Li  0.0000  0.0000  0.0000 x2
Pa  0.0000  0.5000  0.5000 x2
Pd  0.0000  0.0000  0.5000 x2
Pd  0.2500  0.2500  0.2380 x8

***

Tell me which of them is the most stable. Sure, it is (B).

***

(A)
An optimized crystal structure of LiPa2Pd8, computed with PBE-GGA.

## Properties
**ρ**: 11070 kg/m3

a = 7.0716 Å, b = 13.6563 Å, c = 4.4844 Å
α = 90.00°, β = 113.84°, γ = 90.00°
Space group C2/m (No. 12)
Symmetry-distinct sites (fractional):
Li  0.0000  0.0000  0.0000 x2
Pa  0.0000  0.3095  0.5000 x4
Pd  0.0000  0.1863  0.0000 x4
Pd  0.1166  0.5000  0.8114 x4
Pd  0.2147  0.1059  0.6313 x8

***

(B)
An optimized crystal structure of LiPa2Pd8, computed with PBE-GGA.

## Properties
**ρ**: 11122 kg/m3

a = 4.0666 Å, b = 8.1457 Å, c = 11.9018 Å
α = 90.00°, β = 90.00°, γ = 90.00°
Space group Immm (No. 71)
Symmetry-distinct sites (fractional):
Li  0.0000  0.0000  0.0000 x2
Pa  0.0000  0.0000  0.3394 x4
Pd  0.0000  0.2467  0.5000 x4
Pd  0.0000  0.2521  0.1602 x8
Pd  0.0000  0.5000  0.3274 x4

***

Tell me which of them is the most stable. Sure, it is (B).

***

(A)
An optimized crystal structure of LiPaPd6, computed with PBE-GGA.

## Properties
**ρ**: 10549 kg/m3

a = 6.0950 Å, b = 9.7330 Å, c = 5.3375 Å
α = 90.00°, β = 119.37°, γ = 90.00°
Space group C2/m (No. 12)
Symmetry-distinct sites (fractional):
Li  0.0000  0.0000  0.0000 x2
Pa  0.0000  0.5000  0.5000 x2
Pd  0.2313  0.0000  0.7571 x4
Pd  0.2340  0.2184  0.2436 x8

***

(B)
An optimized crystal structure of LiPaPd6, computed with PBE-GGA.

## Properties
**ρ**: 11112 kg/m3

a = 5.6943 Å, b = 5.6943 Å, c = 4.0395 Å
α = 90.00°, β = 90.00°, γ = 90.00°
Space group P4/mmm (No. 123)
Symmetry-distinct sites (fractional):
Li  0.0000  0.0000  0.0000 x1
Pa  0.5000  0.5000  0.0000 x1
Pd  0.0000  0.5000  0.0000 x2
Pd  0.2475  0.2475  0.5000 x4

***

Tell me which of them is the most stable. Sure, it is (B).

***

(A)
An optimized crystal structure of LiPaPd4, computed with PBE-GGA.

## Properties
**ρ**: 10362 kg/m3

a = 7.5210 Å, b = 7.5210 Å, c = 7.5210 Å
α = 90.00°, β = 90.00°, γ = 90.00°
Space group F-43m (No. 216)
Symmetry-distinct sites (fractional):
Li  0.0000  0.0000  0.0000 x4
Pa  0.2500  0.2500  0.7500 x4
Pd  0.1255  0.1255  0.3745 x16

***

(B)
An optimized crystal structure of LiPaPd4, computed with PBE-GGA.

## Properties
**ρ**: 10766 kg/m3

a = 5.1356 Å, b = 5.6101 Å, c = 7.1139 Å
α = 90.17°, β = 92.79°, γ = 90.11°
Space group P-1 (No. 2)
Symmetry-distinct sites (fractional):
Li  0.0721  0.2498  0.4692 x2
Pa  0.2489  0.7507  0.1282 x2
Pd  0.2367  0.5008  0.7789 x2
Pd  0.2374  0.9987  0.7789 x2
Pd  0.2563  0.2507  0.1313 x2
Pd  0.4322  0.7494  0.4778 x2

***

(C)
An optimized crystal structure of LiPaPd4, computed with PBE-GGA.

## Properties
**ρ**: 9865 kg/m3

a = 3.9741 Å, b = 3.9741 Å, c = 7.0732 Å
α = 90.00°, β = 90.00°, γ = 90.00°
Space group P4/mmm (No. 123)
Symmetry-distinct sites (fractional):
Li  0.0000  0.0000  0.0000 x1
Pa  0.5000  0.5000  0.5000 x1
Pd  0.0000  0.5000  0.2279 x4

***

Tell me which of them is the most stable. Sure, it is (B).

***

(A)
An optimized crystal structure of Li3PaPt3, computed with PBE-GGA.

## Properties
**ρ**: 12511 kg/m3

a = 7.6314 Å, b = 7.6314 Å, c = 7.6314 Å
α = 90.00°, β = 90.00°, γ = 90.00°
Space group P2_13 (No. 198)
Symmetry-distinct sites (fractional):
Li  0.1363  0.3637  0.6363 x4
Li  0.1476  0.1476  0.1476 x4
Li  0.1956  0.8044  0.3044 x4
Pa  0.0306  0.5306  0.9694 x4
Pt  0.0506  0.6844  0.6274 x12

***

(B)
An optimized crystal structure of Li3PaPt3, computed with PBE-GGA.

## Properties
**ρ**: 11047 kg/m3

a = 6.3136 Å, b = 6.3136 Å, c = 6.3136 Å
α = 90.00°, β = 90.00°, γ = 90.00°
Space group Pm-3n (No. 223)
Symmetry-distinct sites (fractional):
Li  0.0000  0.2500  0.5000 x6
Pa  0.0000  0.0000  0.0000 x2
Pt  0.0000  0.5000  0.2500 x6

***

(C)
An optimized crystal structure of Li3PaPt3, computed with PBE-GGA.

## Properties
**ρ**: 10007 kg/m3

a = 8.2273 Å, b = 12.3561 Å, c = 5.4669 Å
α = 90.00°, β = 91.12°, γ = 90.00°
Space group C2/m (No. 12)
Symmetry-distinct sites (fractional):
Li  0.0000  0.1721  0.0000 x4
Li  0.0000  0.2868  0.5000 x4
Li  0.0525  0.5000  0.7884 x4
Pa  0.1947  0.0000  0.6776 x4
Pt  0.1351  0.0000  0.2050 x4
Pt  0.1702  0.3445  0.0604 x8

***

Tell me which of them is the most stable. Sure, it is (A).

***

(A)
An optimized crystal structure of LiPaPt3, computed with PBE-GGA.

## Properties
**ρ**: 13748 kg/m3

a = 5.3698 Å, b = 14.2729 Å, c = 5.1896 Å
α = 90.00°, β = 90.00°, γ = 90.00°
Space group Cmcm (No. 63)
Symmetry-distinct sites (fractional):
Li  0.0000  0.0284  0.2500 x4
Pa  0.0000  0.3143  0.7500 x4
Pt  0.0000  0.5000  0.0000 x4
Pt  0.2485  0.1467  0.7500 x8

***

(B)
An optimized crystal structure of LiPaPt3, computed with PBE-GGA.

## Properties
**ρ**: 14586 kg/m3

a = 4.5001 Å, b = 5.5568 Å, c = 7.4959 Å
α = 90.00°, β = 90.00°, γ = 90.00°
Space group Pmmn (No. 59, origin choice 2)
Symmetry-distinct sites (fractional):
Li  0.2500  0.2500  0.1192 x2
Pa  0.2500  0.7500  0.4181 x2
Pt  0.2500  0.0024  0.7413 x4
Pt  0.2500  0.7500  0.0654 x2

***

Tell me which of them is the most stable. Sure, it is (B).

***

(A)
An optimized crystal structure of LiPa2Re, computed with PBE-GGA.

## Properties
**ρ**: 11849 kg/m3

a = 3.1772 Å, b = 3.1772 Å, c = 9.0963 Å
α = 90.00°, β = 90.00°, γ = 90.00°
Space group P4/mmm (No. 123)
Symmetry-distinct sites (fractional):
Li  0.0000  0.0000  0.0000 x1
Pa  0.5000  0.5000  0.2934 x2
Re  0.0000  0.0000  0.5000 x1

***

(B)
An optimized crystal structure of LiPa2Re, computed with PBE-GGA.

## Properties
**ρ**: 12020 kg/m3

a = 3.0826 Å, b = 3.0826 Å, c = 32.9975 Å
α = 90.00°, β = 90.00°, γ = 120.00°
Space group R-3m (No. 166, hexagonal axes)
Symmetry-distinct sites (fractional):
Li  0.0000  0.0000  0.0000 x3
Pa  0.0000  0.0000  0.0962 x6
Re  0.0000  0.0000  0.5000 x3

***

Tell me which of them is the most stable. Sure, it is (A).